## LaCu3S (PBE)

Data for a geometry-optimized LaCu3S structure.

Output
Total magnetization in μB per formula unit: 0.0
Raw formation energy in meV/atom: 1413.4
DOS(E_F) in states/eV per cell: 5.49
Crystal system: cubic
DFT total energy in eV per atom: -2.855

```
data_LaCu3S
_cell_length_a 5.213
_cell_length_b 5.213
_cell_length_c 5.213
_cell_angle_alpha 90.00
_cell_angle_beta 90.00
_cell_angle_gamma 90.00
_symmetry_space_group_name_H-M 'P m -3 m'
_symmetry_Int_Tables_number 221
_symmetry_space_group_name_Hall '-P 4 2 3'
loop_
_atom_site_label
_atom_site_type_symbol
_atom_site_fract_x
_atom_site_fract_y
_atom_site_fract_z
_atom_site_occupancy
La1 La 0.000 0.000 0.000 1
Cu1 Cu 0.000 0.000 0.500 1
S1 S 0.500 0.500 0.500 1
```